Compound: K3NbCl
Source: Alexandria via LeMat-Bulk
Functional: meta-GGA SCAN
Structure: single point on PBEsol structure

Structure (CIF):
```
data_K3NbCl
_cell_length_a 6.5565
_cell_length_b 6.5565
_cell_length_c 6.5565
_cell_angle_alpha 90.00
_cell_angle_beta 90.00
_cell_angle_gamma 90.00
_space_group_name_H-M_alt 'P m -3 m'
_space_group_IT_number 221
_space_group_name_Hall '-P 4 2 3'
loop_
_atom_site_label
_atom_site_type_symbol
_atom_site_fract_x
_atom_site_fract_y
_atom_site_fract_z
K1 K 0.0000 0.0000 0.5000
Nb1 Nb 0.0000 0.0000 0.0000
Cl1 Cl 0.5000 0.5000 0.5000
```

---

Compound: Cs2PtN
Source: Alexandria via LeMat-Bulk
Functional: meta-GGA SCAN
Structure: single point on PBEsol structure

Structure (CIF):
```
data_Cs2PtN
_cell_length_a 12.7614
_cell_length_b 12.7614
_cell_length_c 3.7339
_cell_angle_alpha 90.00
_cell_angle_beta 90.00
_cell_angle_gamma 90.00
_space_group_name_H-M_alt 'I -4 2 d'
_space_group_IT_number 122
_space_group_name_Hall 'I -4 2bw'
loop_
_atom_site_label
_atom_site_type_symbol
_atom_site_fract_x
_atom_site_fract_y
_atom_site_fract_z
Cs1 Cs 0.0105 0.7500 0.1250
Pt1 Pt 0.0000 0.0000 0.5000
N1 N 0.0000 0.0000 0.0000
```

---

Compound: HgAsRhSe2
Source: Alexandria via LeMat-Bulk
Functional: meta-GGA SCAN
Structure: single point on PBEsol structure

Structure (CIF):
```
data_HgAsRhSe2
_cell_length_a 5.0787
_cell_length_b 5.0787
_cell_length_c 4.9934
_cell_angle_alpha 90.00
_cell_angle_beta 90.00
_cell_angle_gamma 90.00
_space_group_name_H-M_alt 'P 4/m m m'
_space_group_IT_number 123
_space_group_name_Hall '-P 4 2'
loop_
_atom_site_label
_atom_site_type_symbol
_atom_site_fract_x
_atom_site_fract_y
_atom_site_fract_z
Hg1 Hg 0.0000 0.0000 0.0000
As1 As 0.0000 0.0000 0.5000
Rh1 Rh 0.5000 0.5000 0.5000
Se1 Se 0.0000 0.5000 0.0000
```

---

The Fermi-level density of states results, record by record, are as follows: 0.18; 0.51; 1.03 states/eV/atom.
The mass density results, record by record, are as follows: 1.45; 5.19; 6.91 Mg/m³.
The calculated total energy results, record by record, are as follows: -12.74; -39.01; -31.08 eV per atom.